P | DFT (PBE) results for CaP2HS after structural relaxation.

a b c (Å): 3.770 3.770 5.815
angles (deg): 90.00 90.00 90.00
Positions (direct):
Ca 0.000 0.000 0.000
P 0.000 0.500 0.500
P 0.500 0.000 0.500
H 0.500 0.500 0.500
S 0.500 0.500 0.000

***

Q | DFT (PBE) results for CaP2HS after structural relaxation.

a b c (Å): 5.436 5.436 5.248
angles (deg): 90.00 90.00 90.00
Positions (direct):
Ca 0.000 0.000 0.000
P 0.000 0.500 0.000
P 0.500 0.000 0.000
H 0.500 0.500 0.500
S 0.000 0.000 0.500

***

P is favored, and the nearest alternative lies 133.4 kJ/mol of atoms above it.